Here is an optimized crystal structure of MgCuWF2 from the Alexandria database. Energies are from PBE with a Hubbard U.

a = 3.7795 Å, b = 3.7795 Å, c = 7.4140 Å
α = 90.00°, β = 90.00°, γ = 90.00°
Fractional coordinates of all 5 atoms:
Mg: 0.0000 0.0000 0.0000
Cu: 0.5000 0.5000 0.5000
W: 0.0000 0.0000 0.5000
F: 0.0000 0.5000 0.0000
F: 0.5000 0.0000 0.0000

Computed properties:
Calculated density (g/cm3): 4.9
DFT total energy (eV/atom): -4.362